PBE-GGA Er8CoPt2, optimized geometry; offset from the most stable computed form = 0.99 eV per formula unit; formation energy = -0.45 eV/atom; space-group type = No. 8
1.0
4.1881 -6.1904 0.0000
4.1881 6.1904 0.0000
-2.1164 0.0000 5.5748
Er Co Pt
8 1 2
Direct
0.0000 0.0000 0.0000
0.0190 0.2765 0.5637
0.1467 0.5524 0.1846
0.2765 0.0190 0.5637
0.4346 0.6930 0.7778
0.5524 0.1467 0.1846
0.6930 0.4346 0.7778
0.7025 0.7025 0.3637
0.3483 0.3483 0.3691
0.0423 0.6727 0.6771
0.6727 0.0423 0.6771